Record 1
{
  "formula": "Er8CuTe4S3",
  "functional": "PBE",
  "state": "optimized geometry",
  "cell": [[4.0672, 2.3482, 6.9160], [-4.0672, 2.3482, 6.9160], [0.0000, -4.6963, 6.9160]],
  "species": ["Er", "Er", "Er", "Er", "Er", "Er", "Er", "Er", "Cu", "Te", "Te", "Te", "Te", "S", "S", "S"],
  "fractional_positions": [[0.2345, 0.2345, 0.2345], [0.2412, 0.7341, 0.7341], [0.2659, 0.2659, 0.7588], [0.2659, 0.7588, 0.2659], [0.7341, 0.2412, 0.7341], [0.7341, 0.7341, 0.2412], [0.7588, 0.2659, 0.2659], [0.7655, 0.7655, 0.7655], [0.5000, 0.5000, 0.5000], [0.0000, 0.0000, 0.0000], [0.0000, 0.5000, 0.5000], [0.5000, 0.0000, 0.5000], [0.5000, 0.5000, 0.0000], [0.0000, 0.0000, 0.5000], [0.0000, 0.5000, 0.0000], [0.5000, 0.0000, 0.0000]],
  "e_form_raw_ev_per_atom": -1.3905,
  "sg": "R-3m (166)",
  "vol_a3_per_fu": 396.30
}

Record 2
{
  "formula": "Er6CuTe3S2",
  "functional": "PBE",
  "state": "optimized geometry",
  "cell": [[3.5364, -6.1198, 0.0000], [3.5364, 6.1198, 0.0000], [-2.3575, 0.0000, 6.9249]],
  "species": ["Er", "Er", "Er", "Er", "Er", "Er", "Cu", "Te", "Te", "Te", "S", "S"],
  "fractional_positions": [[0.0698, 0.3964, 0.2109], [0.2556, 0.2556, 0.7865], [0.3964, 0.0698, 0.2109], [0.6036, 0.9302, 0.7891], [0.7444, 0.7444, 0.2135], [0.9302, 0.6036, 0.7891], [0.0000, 0.0000, 0.0000], [0.1708, 0.8292, 0.5000], [0.5000, 0.5000, 0.5000], [0.8292, 0.1708, 0.5000], [0.3344, 0.6656, 0.0000], [0.6656, 0.3344, 0.0000]],
  "e_form_raw_ev_per_atom": -1.3260,
  "sg": "C2/m (12)",
  "vol_a3_per_fu": 299.74
}

Record 3
{
  "formula": "ErTlCuS2",
  "functional": "PBE",
  "state": "optimized geometry",
  "cell": [[6.3306, 0.0000, 0.0000], [0.0000, 5.7647, 0.0000], [-1.9487, 0.0000, 7.0984]],
  "species": ["Er", "Er", "Tl", "Tl", "Cu", "Cu", "S", "S", "S", "S"],
  "fractional_positions": [[0.0000, 0.0245, 0.2500], [0.0000, 0.9755, 0.7500], [0.5000, 0.3002, 0.2500], [0.5000, 0.6998, 0.7500], [0.0000, 0.5000, 0.0000], [0.0000, 0.5000, 0.5000], [0.2346, 0.2141, 0.5684], [0.2346, 0.7859, 0.0684], [0.7654, 0.2141, 0.9316], [0.7654, 0.7859, 0.4316]],
  "e_form_raw_ev_per_atom": -0.8203,
  "sg": "P2/c (13)",
  "vol_a3_per_fu": 129.52
}

Record 4
{
  "formula": "Er2TlCuS4",
  "functional": "PBE",
  "state": "optimized geometry",
  "cell": [[1.9666, -6.7643, 0.0000], [1.9666, 6.7643, 0.0000], [0.0000, 0.0000, 13.7091]],
  "species": ["Er", "Er", "Er", "Er", "Tl", "Tl", "Cu", "Cu", "S", "S", "S", "S", "S", "S", "S", "S"],
  "fractional_positions": [[0.1336, 0.8664, 0.5631], [0.1336, 0.8664, 0.9369], [0.8664, 0.1336, 0.0631], [0.8664, 0.1336, 0.4369], [0.3914, 0.6086, 0.7500], [0.6086, 0.3914, 0.2500], [0.3336, 0.6664, 0.2500], [0.6664, 0.3336, 0.7500], [0.0715, 0.9285, 0.7500], [0.2388, 0.7612, 0.1081], [0.2388, 0.7612, 0.3919], [0.5000, 0.5000, 0.0000], [0.5000, 0.5000, 0.5000], [0.7612, 0.2388, 0.6081], [0.7612, 0.2388, 0.8919], [0.9285, 0.0715, 0.2500]],
  "e_form_raw_ev_per_atom": -1.4474,
  "sg": "Cmcm (63)",
  "vol_a3_per_fu": 182.37
}